Entry from Alexandria: a relaxed Mo3PbO9 crystal (PBE with a Hubbard U).

Cell: 5.6695 7.6578 8.3203 Å, 90.00 92.70 90.00°
Space group P2_1/m (No. 11)
Inequivalent atoms, fractional coordinates:
Mo (0.0000, 0.0000, 0.0000) [2 per cell]
Mo (0.4738, 0.0020, 0.6959) [4 per cell]
Pb (0.0297, 0.2500, 0.4436) [2 per cell]
O (0.0527, 0.2500, 0.9922) [2 per cell]
O (0.1907, 0.5401, 0.7947) [4 per cell]
O (0.2834, 0.5327, 0.4760) [4 per cell]
O (0.3066, 0.5330, 0.1418) [4 per cell]
O (0.3956, 0.2500, 0.6739) [2 per cell]
O (0.4565, 0.2500, 0.3134) [2 per cell]

Summary:
Raw total energy: -6.91 eV per atom